# 1
# Ce2Cu4HgGe3, optimized geometry, DFT PBE-GGA
data_Ce2Cu4HgGe3
_symmetry_space_group_name_H-M 'P -4 m 2'
_symmetry_Int_Tables_number 115
_cell_length_a 4.220
_cell_length_b 4.220
_cell_length_c 10.344
_cell_angle_alpha 90.00
_cell_angle_beta 90.00
_cell_angle_gamma 90.00
loop_
_symmetry_equiv_pos_as_xyz
'x,y,z'
'y,-x,-z'
'-x,-y,z'
'-y,x,-z'
'-x,y,z'
'-y,-x,-z'
'x,-y,z'
'y,x,-z'
loop_
_atom_site_label
_atom_site_type_symbol
_atom_site_fract_x
_atom_site_fract_y
_atom_site_fract_z
Ce1 Ce 0.000 0.500 0.234
Cu1 Cu 0.000 0.000 0.000
Cu2 Cu 0.000 0.500 0.646
Cu3 Cu 0.500 0.500 0.000
Hg1 Hg 0.000 0.000 0.500
Ge1 Ge 0.000 0.500 0.873
Ge2 Ge 0.500 0.500 0.500
# Volume = 18.4 Å³/atom
# Electronic total energy = -4.63 eV/atom
# DFT formation energy = -386 meV per atom

# 2
# CeHoCuGe, optimized geometry, DFT PBE-GGA
data_CeHoCuGe
_symmetry_space_group_name_H-M 'F -4 3 m'
_symmetry_Int_Tables_number 216
_symmetry_space_group_name_Hall 'F -4 2 3'
_cell_length_a 7.099
_cell_length_b 7.099
_cell_length_c 7.099
_cell_angle_alpha 90.00
_cell_angle_beta 90.00
_cell_angle_gamma 90.00
loop_
_atom_site_label
_atom_site_type_symbol
_atom_site_fract_x
_atom_site_fract_y
_atom_site_fract_z
Ce1 Ce 0.000 0.000 0.000
Ho1 Ho 0.000 0.000 0.500
Cu1 Cu 0.250 0.250 0.750
Ge1 Ge 0.250 0.250 0.250
# Volume = 22.4 Å³/atom
# Electronic total energy = -5.22 eV/atom
# DFT formation energy = -412 meV per atom

# 3
# Ce2HoCu2Ge2, optimized geometry, DFT PBE-GGA
data_Ce2HoCu2Ge2
_symmetry_space_group_name_H-M 'R -3 m'
_symmetry_Int_Tables_number 166
_symmetry_space_group_name_Hall '-R 3 2"'
_cell_length_a 4.2264
_cell_length_b 4.2264
_cell_length_c 27.0745
_cell_angle_alpha 90.00
_cell_angle_beta 90.00
_cell_angle_gamma 120.00
loop_
_atom_site_label
_atom_site_type_symbol
_atom_site_fract_x
_atom_site_fract_y
_atom_site_fract_z
Ce1 Ce 0.0000 0.0000 0.1399
Ho1 Ho 0.0000 0.0000 0.0000
Cu1 Cu 0.0000 0.0000 0.4026
Ge1 Ge 0.0000 0.0000 0.2650
# Volume = 19.9 Å³/atom
# Electronic total energy = -5.34 eV/atom
# DFT formation energy = -498 meV per atom

# 4
# LaCeCuGe, optimized geometry, DFT PBE-GGA
data_LaCeCuGe
_symmetry_space_group_name_H-M 'F -4 3 m'
_symmetry_Int_Tables_number 216
_symmetry_space_group_name_Hall 'F -4 2 3'
_cell_length_a 7.316
_cell_length_b 7.316
_cell_length_c 7.316
_cell_angle_alpha 90.00
_cell_angle_beta 90.00
_cell_angle_gamma 90.00
loop_
_atom_site_label
_atom_site_type_symbol
_atom_site_fract_x
_atom_site_fract_y
_atom_site_fract_z
La1 La 0.000 0.000 0.000
Ce1 Ce 0.000 0.000 0.500
Cu1 Cu 0.250 0.250 0.250
Ge1 Ge 0.250 0.250 0.750
# Volume = 24.5 Å³/atom
# Electronic total energy = -5.28 eV/atom
# DFT formation energy = -385 meV per atom

# 5
# LaCeCu2Ge2, optimized geometry, DFT PBE-GGA
data_LaCeCu2Ge2
_symmetry_space_group_name_H-M 'P -3 m 1'
_symmetry_Int_Tables_number 164
_symmetry_space_group_name_Hall '-P 3 2"'
_cell_length_a 4.3014
_cell_length_b 4.3014
_cell_length_c 7.9919
_cell_angle_alpha 90.00
_cell_angle_beta 90.00
_cell_angle_gamma 120.00
loop_
_atom_site_label
_atom_site_type_symbol
_atom_site_fract_x
_atom_site_fract_y
_atom_site_fract_z
La1 La 0.0000 0.0000 0.0000
Ce1 Ce 0.0000 0.0000 0.5000
Cu1 Cu 0.3333 0.6667 0.7364
Ge1 Ge 0.3333 0.6667 0.2620
# Volume = 21.3 Å³/atom
# Electronic total energy = -5.34 eV/atom
# DFT formation energy = -630 meV per atom

# 6
# La2Ce2CuGe4, optimized geometry, DFT PBE-GGA
data_La2Ce2CuGe4
_symmetry_space_group_name_H-M 'I 4/m m m'
_symmetry_Int_Tables_number 139
_symmetry_space_group_name_Hall '-I 4 2'
_cell_length_a 7.138
_cell_length_b 7.138
_cell_length_c 8.545
_cell_angle_alpha 90.00
_cell_angle_beta 90.00
_cell_angle_gamma 90.00
loop_
_atom_site_label
_atom_site_type_symbol
_atom_site_fract_x
_atom_site_fract_y
_atom_site_fract_z
La1 La 0.000 0.500 0.250
Ce1 Ce 0.000 0.000 0.169
Cu1 Cu 0.000 0.000 0.500
Ge1 Ge 0.235 0.235 0.500
# Volume = 24.2 Å³/atom
# Electronic total energy = -5.37 eV/atom
# DFT formation energy = -447 meV per atom

# 7
# La2CeCu2Ge2, optimized geometry, DFT PBE-GGA
data_La2CeCu2Ge2
_symmetry_space_group_name_H-M 'R -3 m'
_symmetry_Int_Tables_number 166
_symmetry_space_group_name_Hall '-R 3 2"'
_cell_length_a 4.3155
_cell_length_b 4.3155
_cell_length_c 30.5039
_cell_angle_alpha 90.00
_cell_angle_beta 90.00
_cell_angle_gamma 120.00
loop_
_atom_site_label
_atom_site_type_symbol
_atom_site_fract_x
_atom_site_fract_y
_atom_site_fract_z
La1 La 0.0000 0.0000 0.1251
Ce1 Ce 0.0000 0.0000 0.0000
Cu1 Cu 0.0000 0.0000 0.3942
Ge1 Ge 0.0000 0.0000 0.2713
# Volume = 23.4 Å³/atom
# Electronic total energy = -5.22 eV/atom
# DFT formation energy = -479 meV per atom

# 8
# La3Ce2Cu2Ge4, optimized geometry, DFT PBE-GGA
data_La3Ce2Cu2Ge4
_symmetry_space_group_name_H-M 'P -3 m 1'
_symmetry_Int_Tables_number 164
_symmetry_space_group_name_Hall '-P 3 2"'
_cell_length_a 4.1965
_cell_length_b 4.1965
_cell_length_c 18.3489
_cell_angle_alpha 90.00
_cell_angle_beta 90.00
_cell_angle_gamma 120.00
loop_
_atom_site_label
_atom_site_type_symbol
_atom_site_fract_x
_atom_site_fract_y
_atom_site_fract_z
La1 La 0.0000 0.0000 0.0000
La2 La 0.0000 0.0000 0.2061
Ce1 Ce 0.3333 0.6667 0.3010
Cu1 Cu 0.3333 0.6667 0.5981
Ge1 Ge 0.3333 0.6667 0.1096
Ge2 Ge 0.3333 0.6667 0.4615
# Volume = 25.4 Å³/atom
# Electronic total energy = -4.91 eV/atom
# DFT formation energy = -63 meV per atom

# 9
# LiCe2Cu4Ge3, optimized geometry, DFT PBE-GGA
data_LiCe2Cu4Ge3
_symmetry_space_group_name_H-M 'P -4 m 2'
_symmetry_Int_Tables_number 115
_cell_length_a 4.189
_cell_length_b 4.189
_cell_length_c 9.939
_cell_angle_alpha 90.00
_cell_angle_beta 90.00
_cell_angle_gamma 90.00
loop_
_symmetry_equiv_pos_as_xyz
'x,y,z'
'y,-x,-z'
'-x,-y,z'
'-y,x,-z'
'-x,y,z'
'-y,-x,-z'
'x,-y,z'
'y,x,-z'
loop_
_atom_site_label
_atom_site_type_symbol
_atom_site_fract_x
_atom_site_fract_y
_atom_site_fract_z
Li1 Li 0.000 0.000 0.000
Ce1 Ce 0.000 0.500 0.742
Cu1 Cu 0.000 0.000 0.500
Cu2 Cu 0.000 0.500 0.126
Cu3 Cu 0.500 0.500 0.500
Ge1 Ge 0.000 0.500 0.364
Ge2 Ge 0.500 0.500 0.000
# Volume = 17.4 Å³/atom
# Electronic total energy = -4.84 eV/atom
# DFT formation energy = -441 meV per atom

# 10
# LiCeCuGe2, optimized geometry, DFT PBE-GGA
data_LiCeCuGe2
_symmetry_space_group_name_H-M 'I -4 m 2'
_symmetry_Int_Tables_number 119
_symmetry_space_group_name_Hall 'I -4 -2'
_cell_length_a 4.149
_cell_length_b 4.149
_cell_length_c 10.480
_cell_angle_alpha 90.00
_cell_angle_beta 90.00
_cell_angle_gamma 90.00
loop_
_atom_site_label
_atom_site_type_symbol
_atom_site_fract_x
_atom_site_fract_y
_atom_site_fract_z
Li1 Li 0.000 0.000 0.000
Ce1 Ce 0.000 0.500 0.750
Cu1 Cu 0.000 0.000 0.500
Ge1 Ge 0.000 0.500 0.131
# Volume = 18.0 Å³/atom
# Electronic total energy = -4.78 eV/atom
# DFT formation energy = -543 meV per atom

# 11
# LiCe2Cu3Ge4, optimized geometry, DFT PBE-GGA
data_LiCe2Cu3Ge4
_symmetry_space_group_name_H-M 'P -4 m 2'
_symmetry_Int_Tables_number 115
_cell_length_a 4.225
_cell_length_b 4.225
_cell_length_c 9.996
_cell_angle_alpha 90.00
_cell_angle_beta 90.00
_cell_angle_gamma 90.00
loop_
_symmetry_equiv_pos_as_xyz
'x,y,z'
'y,-x,-z'
'-x,-y,z'
'-y,x,-z'
'-x,y,z'
'-y,-x,-z'
'x,-y,z'
'y,x,-z'
loop_
_atom_site_label
_atom_site_type_symbol
_atom_site_fract_x
_atom_site_fract_y
_atom_site_fract_z
Li1 Li 0.000 0.000 0.000
Ce1 Ce 0.000 0.500 0.751
Cu1 Cu 0.000 0.500 0.374
Cu2 Cu 0.500 0.500 0.000
Ge1 Ge 0.000 0.000 0.500
Ge2 Ge 0.000 0.500 0.136
Ge3 Ge 0.500 0.500 0.500
# Volume = 17.8 Å³/atom
# Electronic total energy = -4.95 eV/atom
# DFT formation energy = -495 meV per atom

# 12
# Ce2MgCu4Ge3, optimized geometry, DFT PBE-GGA
data_Ce2MgCu4Ge3
_symmetry_space_group_name_H-M 'P -4 m 2'
_symmetry_Int_Tables_number 115
_cell_length_a 4.168
_cell_length_b 4.168
_cell_length_c 10.401
_cell_angle_alpha 90.00
_cell_angle_beta 90.00
_cell_angle_gamma 90.00
loop_
_symmetry_equiv_pos_as_xyz
'x,y,z'
'y,-x,-z'
'-x,-y,z'
'-y,x,-z'
'-x,y,z'
'-y,-x,-z'
'x,-y,z'
'y,x,-z'
loop_
_atom_site_label
_atom_site_type_symbol
_atom_site_fract_x
_atom_site_fract_y
_atom_site_fract_z
Ce1 Ce 0.000 0.500 0.232
Mg1 Mg 0.000 0.000 0.500
Cu1 Cu 0.000 0.000 0.000
Cu2 Cu 0.000 0.500 0.641
Cu3 Cu 0.500 0.500 0.000
Ge1 Ge 0.000 0.500 0.869
Ge2 Ge 0.500 0.500 0.500
# Volume = 18.1 Å³/atom
# Electronic total energy = -4.80 eV/atom
# DFT formation energy = -435 meV per atom

What is the DFT formation energy in the seventh record?
-479 meV per atom

What is the DFT formation energy in the twelfth record?
-435 meV per atom

Among the records above, which one has the lowest DFT formation energy?
LaCeCu2Ge2